[1]
# PBEsol BaV2Ni2O8, relaxed
# - DOS at the Fermi energy: 0.063 states/eV per atom
# - Total DFT energy (no corrections): -7.834 eV/atom
# - Raw formation energy: -2.009 eV/atom
# - M_tot: 11.982 Bohr magnetons per cell
data_BaV2Ni2O8
_cell_length_a 4.9587
_cell_length_b 4.9587
_cell_length_c 22.4786
_cell_angle_alpha 90.00
_cell_angle_beta 90.00
_cell_angle_gamma 120.00
_space_group_name_H-M_alt 'R -3'
_space_group_IT_number 148
_space_group_name_Hall '-R 3'
loop_
_atom_site_label
_atom_site_type_symbol
_atom_site_fract_x
_atom_site_fract_y
_atom_site_fract_z
Ba1 Ba 0.0000 0.0000 0.0000
V1 V 0.0000 0.0000 0.4258
Ni1 Ni 0.0000 0.0000 0.1690
O1 O 0.0000 0.0000 0.3515
O2 O 0.0016 0.6772 0.1152



[2]
# PBEsol TaMnP2, relaxed
# - DOS at the Fermi energy: 0.649 states/eV per atom
# - Energy of formation from the pure elements: -0.392 eV per atom
# - Total DFT energy (no corrections): -8.866 eV/atom
# - M_tot: 0.001 Bohr magnetons per cell
data_TaMnP2
_cell_length_a 3.0398
_cell_length_b 3.5423
_cell_length_c 4.9571
_cell_angle_alpha 90.00
_cell_angle_beta 90.00
_cell_angle_gamma 90.00
_space_group_name_H-M_alt 'P m m m'
_space_group_IT_number 47
_space_group_name_Hall '-P 2 2'
loop_
_atom_site_label
_atom_site_type_symbol
_atom_site_fract_x
_atom_site_fract_y
_atom_site_fract_z
Ta1 Ta 0.0000 0.0000 0.0000
Mn1 Mn 0.5000 0.0000 0.5000
P1 P 0.5000 0.5000 0.2448



[3]
# PBEsol BaBe2Rh, relaxed
# - DOS at the Fermi energy: 0.739 states/eV per atom
# - Energy of formation from the pure elements: 0.203 eV per atom
# - Total DFT energy (no corrections): -4.369 eV/atom
# - M_tot: 0.000 Bohr magnetons per cell
data_BaBe2Rh
_cell_length_a 3.1125
_cell_length_b 3.1125
_cell_length_c 7.0756
_cell_angle_alpha 90.00
_cell_angle_beta 90.00
_cell_angle_gamma 90.00
_space_group_name_H-M_alt 'P 4 m m'
_space_group_IT_number 99
_space_group_name_Hall 'P 4 -2'
loop_
_atom_site_label
_atom_site_type_symbol
_atom_site_fract_x
_atom_site_fract_y
_atom_site_fract_z
Ba1 Ba 0.0000 0.0000 0.0000
Be1 Be 0.0000 0.0000 0.5331
Be2 Be 0.5000 0.5000 0.3558
Rh1 Rh 0.5000 0.5000 0.6523



[4]
# PBEsol V3Zn2GaO11, relaxed
# - DOS at the Fermi energy: 0.000 states/eV per atom
# - Total DFT energy (no corrections): -7.543 eV/atom
# - Raw formation energy: -2.064 eV/atom
# - M_tot: 0.000 Bohr magnetons per cell
data_V3Zn2GaO11
_cell_length_a 6.4666
_cell_length_b 6.8133
_cell_length_c 9.8108
_cell_angle_alpha 98.00
_cell_angle_beta 101.52
_cell_angle_gamma 101.38
_space_group_name_H-M_alt 'P -1'
_space_group_IT_number 2
_space_group_name_Hall '-P 1'
loop_
_atom_site_label
_atom_site_type_symbol
_atom_site_fract_x
_atom_site_fract_y
_atom_site_fract_z
V1 V 0.1748 0.4832 0.2863
V2 V 0.1986 0.0739 0.6140
V3 V 0.2551 0.1780 0.9767
Zn1 Zn 0.2869 0.0047 0.2786
Zn2 Zn 0.3231 0.6210 0.6634
Ga1 Ga 0.1899 0.6757 0.0022
O1 O 0.1080 0.6298 0.7883
O2 O 0.1117 0.0071 0.4196
O3 O 0.1242 0.3783 0.0131
O4 O 0.1561 0.0789 0.8053
O5 O 0.1945 0.5656 0.4550
O6 O 0.2147 0.9690 0.0606
O7 O 0.2457 0.7002 0.2146
O8 O 0.3142 0.3165 0.6409
O9 O 0.3475 0.3160 0.2733
O10 O 0.3902 0.9331 0.6462
O11 O 0.4821 0.7117 0.9947



[5]
# PBEsol TcMo2As, relaxed
# - DOS at the Fermi energy: 0.985 states/eV per atom
# - Energy of formation from the pure elements: 0.136 eV per atom
# - Total DFT energy (no corrections): -9.841 eV/atom
# - M_tot: 0.004 Bohr magnetons per cell
data_TcMo2As
_cell_length_a 6.1551
_cell_length_b 6.1551
_cell_length_c 6.1551
_cell_angle_alpha 90.00
_cell_angle_beta 90.00
_cell_angle_gamma 90.00
_space_group_name_H-M_alt 'F -4 3 m'
_space_group_IT_number 216
_space_group_name_Hall 'F -4 2 3'
loop_
_atom_site_label
_atom_site_type_symbol
_atom_site_fract_x
_atom_site_fract_y
_atom_site_fract_z
Tc1 Tc 0.0000 0.0000 0.0000
Mo1 Mo 0.0000 0.0000 0.5000
Mo2 Mo 0.2500 0.2500 0.7500
As1 As 0.2500 0.2500 0.2500



[6]
# PBEsol BaSc2Br, relaxed
# - DOS at the Fermi energy: 1.654 states/eV per atom
# - Total DFT energy (no corrections): -4.467 eV/atom
# - Raw formation energy: -0.160 eV/atom
# - M_tot: 0.008 Bohr magnetons per cell
data_BaSc2Br
_cell_length_a 3.6118
_cell_length_b 5.9264
_cell_length_c 10.3100
_cell_angle_alpha 90.00
_cell_angle_beta 90.00
_cell_angle_gamma 90.00
_space_group_name_H-M_alt 'C m m m'
_space_group_IT_number 65
_space_group_name_Hall '-C 2 2'
loop_
_atom_site_label
_atom_site_type_symbol
_atom_site_fract_x
_atom_site_fract_y
_atom_site_fract_z
Ba1 Ba 0.0000 0.0000 0.0000
Sc1 Sc 0.0000 0.5000 0.2936
Br1 Br 0.0000 0.0000 0.5000



[7]
# PBEsol SrOsPt2, relaxed
# - DOS at the Fermi energy: 0.710 states/eV per atom
# - Energy of formation from the pure elements: 0.125 eV per atom
# - Total DFT energy (no corrections): -6.871 eV/atom
# - M_tot: 0.000 Bohr magnetons per cell
data_SrOsPt2
_cell_length_a 2.7894
_cell_length_b 4.6112
_cell_length_c 5.6313
_cell_angle_alpha 90.00
_cell_angle_beta 98.84
_cell_angle_gamma 90.00
_space_group_name_H-M_alt 'P 1 m 1'
_space_group_IT_number 6
_space_group_name_Hall 'P -2y'
loop_
_atom_site_label
_atom_site_type_symbol
_atom_site_fract_x
_atom_site_fract_y
_atom_site_fract_z
Sr1 Sr 0.0000 0.0000 0.0000
Os1 Os 0.8141 0.5000 0.3821
Pt1 Pt 0.3847 0.0000 0.4884
Pt2 Pt 0.4462 0.5000 0.7854



[8]
# PBEsol InTcTe2, relaxed
# - DOS at the Fermi energy: 0.997 states/eV per atom
# - Total DFT energy (no corrections): -4.728 eV/atom
# - Raw formation energy: 0.598 eV/atom
# - M_tot: 0.019 Bohr magnetons per cell
data_InTcTe2
_cell_length_a 3.1169
_cell_length_b 3.1169
_cell_length_c 33.7976
_cell_angle_alpha 90.00
_cell_angle_beta 90.00
_cell_angle_gamma 120.00
_space_group_name_H-M_alt 'R -3 m'
_space_group_IT_number 166
_space_group_name_Hall '-R 3 2"'
loop_
_atom_site_label
_atom_site_type_symbol
_atom_site_fract_x
_atom_site_fract_y
_atom_site_fract_z
In1 In 0.0000 0.0000 0.0000
Tc1 Tc 0.0000 0.0000 0.5000
Te1 Te 0.0000 0.0000 0.4240



[9]
# PBEsol Li2ZnAg2, relaxed
# - DOS at the Fermi energy: 0.295 states/eV per atom
# - Energy of formation from the pure elements: -0.088 eV per atom
# - Total DFT energy (no corrections): -2.515 eV/atom
# - M_tot: 0.000 Bohr magnetons per cell
data_Li2ZnAg2
_cell_length_a 7.0521
_cell_length_b 7.0521
_cell_length_c 3.1454
_cell_angle_alpha 90.00
_cell_angle_beta 90.00
_cell_angle_gamma 90.00
_space_group_name_H-M_alt 'P 4/m b m'
_space_group_IT_number 127
_space_group_name_Hall '-P 4 2ab'
loop_
_atom_site_label
_atom_site_type_symbol
_atom_site_fract_x
_atom_site_fract_y
_atom_site_fract_z
Li1 Li 0.1588 0.3412 0.0000
Zn1 Zn 0.0000 0.0000 0.5000
Ag1 Ag 0.1417 0.6417 0.5000



[10]
# PBEsol CoReNi, relaxed
# - DOS at the Fermi energy: 1.257 states/eV per atom
# - Energy of formation from the pure elements: 0.718 eV per atom
# - Total DFT energy (no corrections): -8.357 eV/atom
# - M_tot: 6.502 Bohr magnetons per cell
data_CoReNi
_cell_length_a 5.4305
_cell_length_b 5.4305
_cell_length_c 5.4305
_cell_angle_alpha 90.00
_cell_angle_beta 90.00
_cell_angle_gamma 90.00
_space_group_name_H-M_alt 'F -4 3 m'
_space_group_IT_number 216
_space_group_name_Hall 'F -4 2 3'
loop_
_atom_site_label
_atom_site_type_symbol
_atom_site_fract_x
_atom_site_fract_y
_atom_site_fract_z
Co1 Co 0.0000 0.0000 0.0000
Re1 Re 0.0000 0.0000 0.5000
Ni1 Ni 0.2500 0.2500 0.7500



[11]
# PBEsol HfFe3Tc, relaxed
# - DOS at the Fermi energy: 0.973 states/eV per atom
# - Energy of formation from the pure elements: 1.040 eV per atom
# - Total DFT energy (no corrections): -8.692 eV/atom
# - M_tot: 2.561 Bohr magnetons per cell
data_HfFe3Tc
_cell_length_a 4.2898
_cell_length_b 4.2898
_cell_length_c 4.2898
_cell_angle_alpha 90.00
_cell_angle_beta 90.00
_cell_angle_gamma 90.00
_space_group_name_H-M_alt 'P m -3 m'
_space_group_IT_number 221
_space_group_name_Hall '-P 4 2 3'
loop_
_atom_site_label
_atom_site_type_symbol
_atom_site_fract_x
_atom_site_fract_y
_atom_site_fract_z
Hf1 Hf 0.0000 0.0000 0.0000
Fe1 Fe 0.0000 0.5000 0.5000
Tc1 Tc 0.5000 0.5000 0.5000



[12]
# PBEsol Cu2AsC, relaxed
# - DOS at the Fermi energy: 0.211 states/eV per atom
# - Energy of formation from the pure elements: 1.180 eV per atom
# - Total DFT energy (no corrections): -4.674 eV/atom
# - M_tot: 0.000 Bohr magnetons per cell
data_Cu2AsC
_cell_length_a 5.7383
_cell_length_b 5.7383
_cell_length_c 5.7383
_cell_angle_alpha 90.00
_cell_angle_beta 90.00
_cell_angle_gamma 90.00
_space_group_name_H-M_alt 'F m -3 m'
_space_group_IT_number 225
_space_group_name_Hall '-F 4 2 3'
loop_
_atom_site_label
_atom_site_type_symbol
_atom_site_fract_x
_atom_site_fract_y
_atom_site_fract_z
Cu1 Cu 0.2500 0.2500 0.2500
As1 As 0.0000 0.0000 0.0000
C1 C 0.0000 0.0000 0.5000



[13]
# PBEsol BeNi5, relaxed
# - DOS at the Fermi energy: 1.313 states/eV per atom
# - Energy of formation from the pure elements: -0.105 eV per atom
# - Total DFT energy (no corrections): -5.902 eV/atom
# - M_tot: 3.639 Bohr magnetons per cell
data_BeNi5
_cell_length_a 8.8511
_cell_length_b 2.4428
_cell_length_c 5.7141
_cell_angle_alpha 90.00
_cell_angle_beta 106.22
_cell_angle_gamma 90.00
_space_group_name_H-M_alt 'C 1 m 1'
_space_group_IT_number 8
_space_group_name_Hall 'C -2y'
loop_
_atom_site_label
_atom_site_type_symbol
_atom_site_fract_x
_atom_site_fract_y
_atom_site_fract_z
Be1 Be 0.0000 0.0000 0.0000
Ni1 Ni 0.0522 0.0000 0.6003
Ni2 Ni 0.1676 0.5000 0.3264
Ni3 Ni 0.2115 0.5000 0.9384
Ni4 Ni 0.3404 0.0000 0.6817
Ni5 Ni 0.3903 0.0000 0.2586



[14]
# PBEsol AlAsOs, relaxed
# - DOS at the Fermi energy: 0.789 states/eV per atom
# - Energy of formation from the pure elements: 0.516 eV per atom
# - Total DFT energy (no corrections): -6.622 eV/atom
# - M_tot: 0.001 Bohr magnetons per cell
data_AlAsOs
_cell_length_a 5.8111
_cell_length_b 5.8111
_cell_length_c 5.8111
_cell_angle_alpha 90.00
_cell_angle_beta 90.00
_cell_angle_gamma 90.00
_space_group_name_H-M_alt 'F -4 3 m'
_space_group_IT_number 216
_space_group_name_Hall 'F -4 2 3'
loop_
_atom_site_label
_atom_site_type_symbol
_atom_site_fract_x
_atom_site_fract_y
_atom_site_fract_z
Al1 Al 0.0000 0.0000 0.0000
As1 As 0.2500 0.2500 0.7500
Os1 Os 0.0000 0.0000 0.5000



[15]
# PBEsol CaZn2Fe, relaxed
# - DOS at the Fermi energy: 2.060 states/eV per atom
# - Energy of formation from the pure elements: 0.330 eV per atom
# - Total DFT energy (no corrections): -3.235 eV/atom
# - M_tot: 10.250 Bohr magnetons per cell
data_CaZn2Fe
_cell_length_a 6.4479
_cell_length_b 6.4479
_cell_length_c 6.4479
_cell_angle_alpha 90.00
_cell_angle_beta 90.00
_cell_angle_gamma 90.00
_space_group_name_H-M_alt 'F -4 3 m'
_space_group_IT_number 216
_space_group_name_Hall 'F -4 2 3'
loop_
_atom_site_label
_atom_site_type_symbol
_atom_site_fract_x
_atom_site_fract_y
_atom_site_fract_z
Ca1 Ca 0.0000 0.0000 0.0000
Zn1 Zn 0.0000 0.0000 0.5000
Zn2 Zn 0.2500 0.2500 0.2500
Fe1 Fe 0.2500 0.2500 0.7500



[16]
# PBEsol Al2TeMo, relaxed
# - DOS at the Fermi energy: 0.691 states/eV per atom
# - Total DFT energy (no corrections): -5.689 eV/atom
# - Raw formation energy: 0.181 eV/atom
# - M_tot: 0.002 Bohr magnetons per cell
data_Al2TeMo
_cell_length_a 3.4545
_cell_length_b 4.5374
_cell_length_c 8.7838
_cell_angle_alpha 90.00
_cell_angle_beta 90.00
_cell_angle_gamma 90.00
_space_group_name_H-M_alt 'I m m m'
_space_group_IT_number 71
_space_group_name_Hall '-I 2 2'
loop_
_atom_site_label
_atom_site_type_symbol
_atom_site_fract_x
_atom_site_fract_y
_atom_site_fract_z
Al1 Al 0.0000 0.0000 0.2404
Te1 Te 0.0000 0.5000 0.0000
Mo1 Mo 0.0000 0.5000 0.5000



[17]
# PBEsol SiHgIr, relaxed
# - DOS at the Fermi energy: 0.771 states/eV per atom
# - Total DFT energy (no corrections): -4.398 eV/atom
# - Raw formation energy: 0.981 eV/atom
# - M_tot: 0.000 Bohr magnetons per cell
data_SiHgIr
_cell_length_a 6.1191
_cell_length_b 6.1191
_cell_length_c 6.1191
_cell_angle_alpha 90.00
_cell_angle_beta 90.00
_cell_angle_gamma 90.00
_space_group_name_H-M_alt 'F -4 3 m'
_space_group_IT_number 216
_space_group_name_Hall 'F -4 2 3'
loop_
_atom_site_label
_atom_site_type_symbol
_atom_site_fract_x
_atom_site_fract_y
_atom_site_fract_z
Si1 Si 0.0000 0.0000 0.0000
Hg1 Hg 0.2500 0.2500 0.2500
Ir1 Ir 0.0000 0.0000 0.5000



[18]
# PBEsol CsCuHg3, relaxed
# - Energy of formation from the pure elements: 0.866 eV per atom
# - Total DFT energy (no corrections): -0.530 eV/atom
# - M_tot: 0.171 Bohr magnetons per cell
data_CsCuHg3
_cell_length_a 6.7257
_cell_length_b 6.7257
_cell_length_c 6.7257
_cell_angle_alpha 90.00
_cell_angle_beta 90.00
_cell_angle_gamma 90.00
_space_group_name_H-M_alt 'P m -3 m'
_space_group_IT_number 221
_space_group_name_Hall '-P 4 2 3'
loop_
_atom_site_label
_atom_site_type_symbol
_atom_site_fract_x
_atom_site_fract_y
_atom_site_fract_z
Cs1 Cs 0.0000 0.0000 0.0000
Cu1 Cu 0.5000 0.5000 0.5000
Hg1 Hg 0.0000 0.0000 0.5000



[19]
# PBEsol InPO4, relaxed
# - DOS at the Fermi energy: 0.000 states/eV per atom
# - Total DFT energy (no corrections): -6.995 eV/atom
# - Raw formation energy: -2.033 eV/atom
# - M_tot: 0.001 Bohr magnetons per cell
data_InPO4
_cell_length_a 8.9365
_cell_length_b 6.9245
_cell_length_c 4.8308
_cell_angle_alpha 90.00
_cell_angle_beta 90.00
_cell_angle_gamma 90.00
_space_group_name_H-M_alt 'P n m a'
_space_group_IT_number 62
_space_group_name_Hall '-P 2ac 2n'
loop_
_atom_site_label
_atom_site_type_symbol
_atom_site_fract_x
_atom_site_fract_y
_atom_site_fract_z
In1 In 0.0000 0.0000 0.0000
P1 P 0.1770 0.2500 0.4821
O1 O 0.1218 0.2500 0.7898
O2 O 0.1254 0.0623 0.3469
O3 O 0.1470 0.7500 0.9599



[20]
# PBEsol TlHg5, relaxed
# - DOS at the Fermi energy: 0.193 states/eV per atom
# - Energy of formation from the pure elements: -0.016 eV per atom
# - Total DFT energy (no corrections): -0.926 eV/atom
# - M_tot: 0.000 Bohr magnetons per cell
data_TlHg5
_cell_length_a 11.7392
_cell_length_b 3.4155
_cell_length_c 7.6592
_cell_angle_alpha 90.00
_cell_angle_beta 106.62
_cell_angle_gamma 90.00
_space_group_name_H-M_alt 'C 1 m 1'
_space_group_IT_number 8
_space_group_name_Hall 'C -2y'
loop_
_atom_site_label
_atom_site_type_symbol
_atom_site_fract_x
_atom_site_fract_y
_atom_site_fract_z
Tl1 Tl 0.0000 0.0000 0.0000
Hg1 Hg 0.1342 0.5000 0.7450
Hg2 Hg 0.1721 0.5000 0.3433
Hg3 Hg 0.2885 0.0000 0.0905
Hg4 Hg 0.3370 0.0000 0.6593
Hg5 Hg 0.4620 0.5000 0.4195